VASP calculation (GGA+U) on crystalline TaVGa2O8 at its relaxed geometry.

magnetization: 0.00 Bohr magnetons per cell
final energy: -7.304 eV/atom

abc: 5.5502 5.5502 5.5502
angles: 109.99 109.99 108.44
Closest atoms and distances in Å follow each position.
Sites, in units of the cell vectors:
V  0.2500  0.7500  0.5000  4 O 1.96
O  0.2921  0.4880  0.1959  1 Ga 1.84, 1 V 1.96
O  0.9039  0.7079  0.1959  1 Ga 1.84, 1 V 1.96
O  0.9574  0.2677  0.3103  1 Ga 1.81, 1 Ta 1.99
O  0.5120  0.7079  0.8041  1 Ga 1.84, 1 V 1.96
O  0.2921  0.0961  0.8041  1 Ga 1.84, 1 V 1.96
O  0.3528  0.0426  0.3103  1 Ga 1.81, 1 Ta 1.99
O  0.7323  0.0426  0.6897  1 Ga 1.81, 1 Ta 1.99
O  0.9574  0.6472  0.6897  1 Ga 1.81, 1 Ta 1.99
Ga  0.7500  0.2500  0.5000  4 O 1.81
Ga  0.5000  0.5000  0.0000  4 O 1.84
Ta  0.0000  0.0000  0.0000  4 O 1.99